1.
# Y2H2Ir (PBE, relaxed)
data_Y2H2Ir
_space_group_name_H-M_alt 'P 4/m m m'
_space_group_IT_number 123
_space_group_name_Hall '-P 4 2'
_cell_length_a 3.359
_cell_length_b 3.359
_cell_length_c 6.789
_cell_angle_alpha 90.00
_cell_angle_beta 90.00
_cell_angle_gamma 90.00
loop_
_atom_site_label
_atom_site_type_symbol
_atom_site_fract_x
_atom_site_fract_y
_atom_site_fract_z
_atom_site_occupancy
Y1 Y 0.000 0.000 0.239 1
H1 H 0.000 0.500 0.000 1
Ir1 Ir 0.500 0.500 0.500 1
# offset from the most stable computed form	137.5	meV per atom
# spin magnetization	0.00	μB per formula unit


2.
# Y2H2Ir (PBE, relaxed)
data_Y2H2Ir
_space_group_name_H-M_alt 'I 4/m m m'
_space_group_IT_number 139
_space_group_name_Hall '-I 4 2'
_cell_length_a 3.435
_cell_length_b 3.435
_cell_length_c 12.733
_cell_angle_alpha 90.00
_cell_angle_beta 90.00
_cell_angle_gamma 90.00
loop_
_atom_site_label
_atom_site_type_symbol
_atom_site_fract_x
_atom_site_fract_y
_atom_site_fract_z
_atom_site_occupancy
Y1 Y 0.000 0.000 0.137 1
H1 H 0.000 0.500 0.250 1
Ir1 Ir 0.000 0.000 0.500 1
# offset from the most stable computed form	0.0	meV per atom
# spin magnetization	0.00	μB per formula unit


3.
# Y3HIr (PBE, relaxed)
data_Y3HIr
_space_group_name_H-M_alt 'P 1 2/m 1'
_space_group_IT_number 10
_cell_length_a 7.234
_cell_length_b 3.784
_cell_length_c 8.460
_cell_angle_alpha 90.00
_cell_angle_beta 106.97
_cell_angle_gamma 90.00
loop_
_space_group_symop_operation_xyz
'x,y,z'
'-x,-y,-z'
'-x,y,-z'
'x,-y,z'
loop_
_atom_site_label
_atom_site_type_symbol
_atom_site_fract_x
_atom_site_fract_y
_atom_site_fract_z
_atom_site_occupancy
Y1 Y 0.095 0.000 0.321 1
Y2 Y 0.282 0.000 0.019 1
Y3 Y 0.369 0.500 0.678 1
H1 H 0.000 0.500 0.500 1
H2 H 0.500 0.500 0.000 1
Ir1 Ir 0.000 0.500 0.000 1
Ir2 Ir 0.500 0.000 0.500 1
# offset from the most stable computed form	0.0	meV per atom
# spin magnetization	0.00	μB per formula unit


4.
# Y2HIr2 (PBE, relaxed)
data_Y2HIr2
_space_group_name_H-M_alt 'I 4/m m m'
_space_group_IT_number 139
_space_group_name_Hall '-I 4 2'
_cell_length_a 3.805
_cell_length_b 3.805
_cell_length_c 15.211
_cell_angle_alpha 90.00
_cell_angle_beta 90.00
_cell_angle_gamma 90.00
loop_
_atom_site_label
_atom_site_type_symbol
_atom_site_fract_x
_atom_site_fract_y
_atom_site_fract_z
_atom_site_occupancy
Y1 Y 0.000 0.000 0.116 1
H1 H 0.000 0.000 0.500 1
Ir1 Ir 0.000 0.500 0.250 1
# calculated total energy	-68.5	eV for the cell shown
# spin magnetization	0.00	μB per formula unit


5.
# YH2Ir (PBE, relaxed)
data_YH2Ir
_space_group_name_H-M_alt 'F m -3 m'
_space_group_IT_number 225
_space_group_name_Hall '-F 4 2 3'
_cell_length_a 5.745
_cell_length_b 5.745
_cell_length_c 5.745
_cell_angle_alpha 90.00
_cell_angle_beta 90.00
_cell_angle_gamma 90.00
loop_
_atom_site_label
_atom_site_type_symbol
_atom_site_fract_x
_atom_site_fract_y
_atom_site_fract_z
_atom_site_occupancy
Y1 Y 0.000 0.000 0.000 1
H1 H 0.250 0.250 0.250 1
Ir1 Ir 0.000 0.000 0.500 1
# offset from the most stable computed form	379.6	meV per atom
# spin magnetization	0.00	μB per formula unit


6.
# YH8Ir2 (PBE, relaxed)
data_YH8Ir2
_space_group_name_H-M_alt 'P 4/m m m'
_space_group_IT_number 123
_space_group_name_Hall '-P 4 2'
_cell_length_a 4.442
_cell_length_b 4.442
_cell_length_c 4.702
_cell_angle_alpha 90.00
_cell_angle_beta 90.00
_cell_angle_gamma 90.00
loop_
_atom_site_label
_atom_site_type_symbol
_atom_site_fract_x
_atom_site_fract_y
_atom_site_fract_z
_atom_site_occupancy
Y1 Y 0.000 0.000 0.000 1
H1 H 0.280 0.280 0.303 1
Ir1 Ir 0.000 0.500 0.500 1
# calculated total energy	-52.1	eV for the cell shown
# spin magnetization	0.00	μB per formula unit


7.
# YZnH8Ir2 (PBE, relaxed)
data_YZnH8Ir2
_space_group_name_H-M_alt 'C 1 2/m 1'
_space_group_IT_number 12
_cell_length_a 8.196
_cell_length_b 4.274
_cell_length_c 6.156
_cell_angle_alpha 90.00
_cell_angle_beta 111.25
_cell_angle_gamma 90.00
loop_
_space_group_symop_operation_xyz
'x,y,z'
'-x,-y,-z'
'-x,y,-z'
'x,-y,z'
'x+1/2,y+1/2,z'
'-x+1/2,-y+1/2,-z'
'-x+1/2,y+1/2,-z'
'x+1/2,-y+1/2,z'
loop_
_atom_site_label
_atom_site_type_symbol
_atom_site_fract_x
_atom_site_fract_y
_atom_site_fract_z
_atom_site_occupancy
Y1 Y 0.000 0.000 0.000 1
Zn1 Zn 0.000 0.500 0.500 1
H1 H 0.082 0.500 0.163 1
H2 H 0.169 0.261 0.820 1
H3 H 0.214 0.000 0.375 1
Ir1 Ir 0.208 0.000 0.646 1
# calculated total energy	-109.0	eV for the cell shown
# spin magnetization	0.00	μB per formula unit


8.
# YZnH6Ir2 (PBE, relaxed)
data_YZnH6Ir2
_space_group_name_H-M_alt 'R -3 m'
_space_group_IT_number 166
_space_group_name_Hall '-R 3 2"'
_cell_length_a 4.4910
_cell_length_b 4.4910
_cell_length_c 15.7167
_cell_angle_alpha 90.00
_cell_angle_beta 90.00
_cell_angle_gamma 120.00
loop_
_atom_site_label
_atom_site_type_symbol
_atom_site_fract_x
_atom_site_fract_y
_atom_site_fract_z
_atom_site_occupancy
Y1 Y 0.0000 0.0000 0.0000 1
Zn1 Zn 0.0000 0.0000 0.5000 1
H1 H 0.0039 0.5019 0.9427 1
Ir1 Ir 0.0000 0.0000 0.2103 1
# calculated total energy	-146.3	eV for the cell shown
# spin magnetization	0.00	μB per formula unit